[1]
Material: MgPtI2N
Method: DFT, PBE
State: optimized geometry

```
data_MgPtI2N
_chemical_formula_sum 'Mg1 Pt1 I2 N1'
_cell_length_a 5.8129
_cell_length_b 5.8129
_cell_length_c 3.7533
_cell_angle_alpha 90.00
_cell_angle_beta 90.00
_cell_angle_gamma 90.00
_space_group_name_H-M_alt 'P 4/m m m'
_space_group_IT_number 123
_space_group_name_Hall '-P 4 2'
loop_
_atom_site_label
_atom_site_type_symbol
_atom_site_fract_x
_atom_site_fract_y
_atom_site_fract_z
Mg1 Mg 0.0000 0.0000 0.0000
Pt1 Pt 0.5000 0.5000 0.5000
I1 I 0.0000 0.5000 0.5000
N1 N 0.5000 0.5000 0.0000
```

## Properties
E_form (uncorrected)	138.6	kJ/mol of formula units
energy relative to the lowest polymorph listed for this composition	0	meV/atom


[2]
Material: Nb2In2Ni15
Method: DFT, PBE
State: optimized geometry

```
data_Nb2In2Ni15
_chemical_formula_sum 'Nb6 In6 Ni45'
_cell_length_a 8.2835
_cell_length_b 8.2835
_cell_length_c 12.4483
_cell_angle_alpha 90.00
_cell_angle_beta 90.00
_cell_angle_gamma 120.00
_space_group_name_H-M_alt 'R -3 m'
_space_group_IT_number 166
_space_group_name_Hall '-R 3 2"'
loop_
_atom_site_label
_atom_site_type_symbol
_atom_site_fract_x
_atom_site_fract_y
_atom_site_fract_z
Nb1 Nb 0.0000 0.0000 0.1046
In1 In 0.0000 0.0000 0.3543
Ni1 Ni 0.0000 0.3082 0.0000
Ni2 Ni 0.0000 0.5000 0.5000
Ni3 Ni 0.0049 0.5025 0.1568
```

## Properties
E_form	-0.028	eV/atom


[3]
Material: Ga2Sb2Au
Method: DFT, PBE
State: optimized geometry

```
data_Ga2Sb2Au
_chemical_formula_sum 'Ga4 Sb4 Au2'
_cell_length_a 3.8073
_cell_length_b 3.8073
_cell_length_c 15.8178
_cell_angle_alpha 90.00
_cell_angle_beta 90.00
_cell_angle_gamma 90.00
_space_group_name_H-M_alt 'I 4/m m m'
_space_group_IT_number 139
_space_group_name_Hall '-I 4 2'
loop_
_atom_site_label
_atom_site_type_symbol
_atom_site_fract_x
_atom_site_fract_y
_atom_site_fract_z
Ga1 Ga 0.0000 0.5000 0.2500
Sb1 Sb 0.0000 0.0000 0.0958
Au1 Au 0.0000 0.0000 0.5000
```

## Properties
E_form (uncorrected)	75.3	kJ/mol of formula units
energy relative to the lowest polymorph listed for this composition	57	meV/atom


[4]
Material: CrSb2Pb
Method: DFT, PBE
State: optimized geometry

```
data_CrSb2Pb
_chemical_formula_sum 'Cr2 Sb4 Pb2'
_cell_length_a 7.2390
_cell_length_b 4.1680
_cell_length_c 7.4398
_cell_angle_alpha 90.00
_cell_angle_beta 108.77
_cell_angle_gamma 90.00
_space_group_name_H-M_alt 'C 1 2/m 1'
_space_group_IT_number 12
_space_group_name_Hall '-C 2y'
loop_
_atom_site_label
_atom_site_type_symbol
_atom_site_fract_x
_atom_site_fract_y
_atom_site_fract_z
Cr1 Cr 0.0000 0.0000 0.0000
Sb1 Sb 0.2298 0.5000 0.1896
Pb1 Pb 0.0000 0.5000 0.5000
```

## Properties
E_form (uncorrected)	55.9	kJ/mol of formula units


Looking at spin magnetization for the records above, in order, we have 0.00; 0.09; 0.00; 0.70 μB per atom.
Looking at DOS(E_F) for the records above, in order, we have 0.40; 1.55; 0.62; 0.44 states/eV per atom.